# LaCr2TeO8 (PBE+U, relaxed)
data_LaCr2TeO8
_chemical_formula_sum 'La1 Cr2 Te1 O8'
_symmetry_space_group_name_H-M 'P 1'
_symmetry_Int_Tables_number 1
_cell_length_a 3.892
_cell_length_b 5.439
_cell_length_c 8.058
_cell_angle_alpha 91.14
_cell_angle_beta 89.99
_cell_angle_gamma 69.05
loop_
_symmetry_equiv_pos_as_xyz
'x,y,z'
loop_
_atom_site_label
_atom_site_type_symbol
_atom_site_fract_x
_atom_site_fract_y
_atom_site_fract_z
La1 La 0.000 0.000 0.500
Cr1 Cr 0.302 0.396 0.768
Cr2 Cr 0.698 0.604 0.232
Te1 Te 0.000 0.000 0.000
O1 O 0.149 0.702 0.222
O2 O 0.612 0.776 0.040
O3 O 0.875 0.249 0.224
O4 O 0.851 0.298 0.778
O5 O 0.388 0.224 0.960
O6 O 0.125 0.751 0.776
O7 O 0.631 0.737 0.437
O8 O 0.369 0.263 0.563
# **N(E_F)**: 0.2885 states/eV per atom
# **DFT total energy**: -6.90 eV/atom
# **Total moment**: 2.97 μB/f.u.